Record 1
The following is a DFT calculation (PBE-GGA) of Tb2Ce2Hg3 after structural relaxation.

abc: 3.771 3.621 13.742
angles: 90.00 82.11 90.00
Fractional positions:
Ce: 0.713 0.500 0.575
Tb: 0.570 0.500 0.861
Tb: 0.430 0.500 0.139
Hg: 0.864 0.000 0.273
Hg: 0.000 0.000 0.000
Ce: 0.287 0.500 0.425
Hg: 0.136 0.000 0.727

Properties
* formation energy: -321 meV/atom
* E: -24.28 eV per cell
* density of states at the Fermi level: 11.6 states/eV/cell
* size of the total moment: 1.57 μB per cell
* volume: 185.9 Å³/f.u.

Record 2
The following is a DFT calculation (PBE-GGA) of AcAg2O2F after structural relaxation.

abc: 5.447 9.564 4.954
angles: 103.18 90.00 90.00
Fractional positions:
O: 0.250 0.712 0.621
Ac: 0.250 0.676 0.105
Ac: 0.750 0.324 0.895
O: 0.250 0.925 0.214
O: 0.750 0.288 0.379
Ag: 0.002 0.103 0.297
F: 0.250 0.401 0.941
O: 0.750 0.075 0.786
Ag: 0.498 0.103 0.297
Ag: 0.502 0.897 0.703
F: 0.750 0.599 0.059
Ag: 0.998 0.897 0.703

Properties
* E: -64.01 eV per cell
* size of the total moment: 0.00 μB per cell
* volume: 125.6 Å³/f.u.